The following is a DFT calculation (PBE) of Li3GaCu4 after structural relaxation.

Cell lengths 5.114, 5.226, 7.678 Å; angles 90.00, 90.00, 90.00 degrees
Sites, in units of the cell vectors:
1 Li 0.000 0.000 0.000
2 Li 0.250 0.244 0.250
3 Li 0.250 0.756 0.750
4 Li 0.500 0.000 0.500
5 Li 0.750 0.244 0.250
6 Li 0.750 0.756 0.750
7 Ga 0.000 0.500 0.000
8 Ga 0.500 0.500 0.500
9 Cu 0.000 0.000 0.500
10 Cu 0.000 0.500 0.500
11 Cu 0.250 0.256 0.751
12 Cu 0.250 0.744 0.251
13 Cu 0.500 0.000 0.000
14 Cu 0.500 0.500 0.000
15 Cu 0.750 0.256 0.751
16 Cu 0.750 0.744 0.251

## Properties
E   -0.119 Ha/atom
Formation energy   -0.0918 eV/atom
Total magnetic moment   0.000 μB per atom
Fermi-level density of states   5.0 states/eV per cell